Entry 1:
Below is a relaxed structure of GaHS2N, with properties calculated at the GGA-PBE level.

**Calculated volume**: 91.4 Å³/cell
**E above lowest polymorph**: 0.324 eV/atom
**Theoretical density**: 2.7 g/cm³

Geometry as CIF:
```
data_GaHS2N
_chemical_formula_sum 'Ga1 H1 S2 N1'
_cell_length_a 4.8928
_cell_length_b 4.8928
_cell_length_c 3.8179
_cell_angle_alpha 90.00
_cell_angle_beta 90.00
_cell_angle_gamma 90.00
_symmetry_space_group_name_H-M 'P 4/m m m'
_symmetry_Int_Tables_number 123
_symmetry_space_group_name_Hall '-P 4 2'
loop_
_atom_site_label
_atom_site_type_symbol
_atom_site_fract_x
_atom_site_fract_y
_atom_site_fract_z
Ga1 Ga 0.0000 0.0000 0.0000
H1 H 0.5000 0.5000 0.5000
S1 S 0.0000 0.5000 0.0000
N1 N 0.0000 0.0000 0.5000
```


Entry 2:
Below is a relaxed structure of GaHSN, with properties calculated at the GGA-PBE level.

**Calculated volume**: 107.3 Å³/cell
**E above lowest polymorph**: 0.000 eV/atom
**Theoretical density**: 3.6 g/cm³

Geometry as CIF:
```
data_GaHSN
_chemical_formula_sum 'Ga2 H2 S2 N2'
_cell_length_a 5.6043
_cell_length_b 3.1527
_cell_length_c 6.0702
_cell_angle_alpha 90.00
_cell_angle_beta 90.17
_cell_angle_gamma 90.00
_symmetry_space_group_name_H-M 'C 1 m 1'
_symmetry_Int_Tables_number 8
loop_
_symmetry_equiv_pos_as_xyz
'x,y,z'
'x,-y,z'
'x+1/2,y+1/2,z'
'x+1/2,-y+1/2,z'
loop_
_atom_site_label
_atom_site_type_symbol
_atom_site_fract_x
_atom_site_fract_y
_atom_site_fract_z
Ga1 Ga 0.0000 0.0000 0.0000
H1 H 0.3297 0.0000 0.7230
S1 S 0.0053 0.0000 0.3712
N1 N 0.3299 0.0000 0.8931
```


Entry 3:
Below is a relaxed structure of GaHSN, with properties calculated at the GGA-PBE level.

**Calculated volume**: 48.4 Å³/cell
**E above lowest polymorph**: 0.151 eV/atom
**Theoretical density**: 4.0 g/cm³

Geometry as CIF:
```
data_GaHSN
_chemical_formula_sum 'Ga1 H1 S1 N1'
_cell_length_a 2.8826
_cell_length_b 2.8826
_cell_length_c 5.8285
_cell_angle_alpha 90.00
_cell_angle_beta 90.00
_cell_angle_gamma 90.00
_symmetry_space_group_name_H-M 'P 4 m m'
_symmetry_Int_Tables_number 99
loop_
_symmetry_equiv_pos_as_xyz
'x,y,z'
'-y,x,z'
'-x,-y,z'
'y,-x,z'
'-x,y,z'
'y,x,z'
'x,-y,z'
'-y,-x,z'
loop_
_atom_site_label
_atom_site_type_symbol
_atom_site_fract_x
_atom_site_fract_y
_atom_site_fract_z
Ga1 Ga 0.0000 0.0000 0.0000
H1 H 0.5000 0.5000 0.2691
S1 S 0.0000 0.0000 0.6108
N1 N 0.5000 0.5000 0.0913
```


Entry 4:
Below is a relaxed structure of GaHS2N, with properties calculated at the GGA-PBE level.

**Calculated volume**: 79.5 Å³/cell
**E above lowest polymorph**: 0.000 eV/atom
**Theoretical density**: 3.1 g/cm³

Geometry as CIF:
```
data_GaHS2N
_chemical_formula_sum 'Ga1 H1 S2 N1'
_cell_length_a 3.3612
_cell_length_b 3.3612
_cell_length_c 7.0367
_cell_angle_alpha 90.00
_cell_angle_beta 90.00
_cell_angle_gamma 90.00
_symmetry_space_group_name_H-M 'P 4/m m m'
_symmetry_Int_Tables_number 123
_symmetry_space_group_name_Hall '-P 4 2'
loop_
_atom_site_label
_atom_site_type_symbol
_atom_site_fract_x
_atom_site_fract_y
_atom_site_fract_z
Ga1 Ga 0.0000 0.0000 0.0000
H1 H 0.5000 0.5000 0.5000
S1 S 0.0000 0.5000 0.5000
N1 N 0.5000 0.5000 0.0000
```